Record 1
A relaxed MgMn2Rh crystal, computed with GGA-PBEsol.

Results
Total DFT energy (no corrections) = -7.165 eV per atom
Space group = P4/mmm (123)

Lattice parameters (Å, degrees): 3.9633 3.9665 3.6736 90.00 90.00 90.00
Last column: nearest neighbours and their distance in Å.
Fractional coordinates of all 4 atoms:
Rh 0.5000 0.0000 0.5000  8 Mn 2.70, 4 Mg 2.80
Mg 0.0000 0.5000 0.5000  8 Mn 2.70, 4 Rh 2.80
Mn 0.0000 0.0000 0.0000  4 Rh 2.70, 4 Mg 2.70, 4 Mn 2.80
Mn 0.5000 0.5000 0.0000  4 Mg 2.70, 4 Rh 2.70, 4 Mn 2.80

---

Record 2
A relaxed MgMn2Ru crystal, computed with GGA-PBEsol.

Results
Total DFT energy (no corrections) = -7.431 eV per atom
Space group = P2/m (10)

Lattice parameters (Å, degrees): 2.6106 4.7266 4.6827 112.25 90.00 90.00
Last column: nearest neighbours and their distance in Å.
Fractional coordinates of all 4 atoms:
Mg 0.0000 0.5000 0.5000  2 Mg 2.61, 6 Mn 2.62-2.70, 4 Ru 2.68
Mn 0.5000 0.0000 0.5000  6 Mn 2.61-2.68, 2 Ru 2.62, 4 Mg 2.70
Mn 0.0000 0.0000 0.0000  6 Mn 2.61-2.68, 2 Mg 2.62, 4 Ru 2.70
Ru 0.5000 0.5000 0.0000  2 Ru 2.61, 6 Mn 2.62-2.70, 4 Mg 2.68

---

Number 1: calculated formation energy 4.144 kcal/mol of atoms. Number 2: calculated formation energy 9.741 kcal/mol of atoms.